# 1
14
Lattice="8.7736 0.0000 0.0000 4.3868 7.5982 0.0000 4.3868 2.5327 7.1477" Properties=species:S:1:pos:R:3 comment="SrPmNd4Se8 (GGA-PBE, relaxed)" raw_formation_energy_mev_per_atom=-1803 e_tot_ev_per_atom=-5.616 pbc="T T T"
Se 6.4337 6.4164 1.8301
Se 11.1135 6.4164 1.8301
Se 11.1793 3.6765 5.2888
Se 8.7736 2.3636 1.8301
Se 13.1604 7.5982 5.1964
Se 4.3868 2.5327 2.0386
Se 6.3679 3.6765 5.2888
Se 8.7736 7.8433 5.2888
Nd 6.5493 1.2842 3.5865
Nd 2.2243 1.2842 3.5865
Nd 4.3868 5.0297 3.5865
Nd 8.7736 5.0655 0.8992
Pm 4.3868 2.5327 7.1062
Sr 8.7736 5.0655 6.2514

=====

# 2
16
Lattice="8.7835 0.0000 0.0000 0.0000 9.5553 0.5390 -4.3918 -4.3889 6.2121" Properties=species:S:1:pos:R:3 comment="DyEr3In4Te8 (GGA-PBE, relaxed)" raw_formation_energy_mev_per_atom=-958 e_tot_ev_per_atom=-4.357 pbc="T T T"
Te 4.3918 0.4188 3.3805
Te 6.5768 2.6014 0.2908
Te 0.0000 0.4175 3.3973
Te -2.1850 2.5651 6.4604
Te 2.1850 2.5651 6.4604
Te 0.0000 4.7476 3.3707
Te 4.3918 4.7490 3.3539
Te 2.2068 2.6014 0.2908
Er 4.3918 4.7777 0.2695
Er -2.1959 2.5832 3.3756
Er 2.1959 2.5832 3.3756
In 2.1959 -2.1945 3.1061
In 4.3918 0.0000 0.0000
In -2.1959 -2.1945 3.1061
In 0.0000 0.0000 0.0000
Dy 0.0000 4.7777 0.2695

=====

# 3
5
Lattice="4.4664 0.0000 0.0000 0.0000 4.4664 0.0000 0.0000 0.0000 5.1230" Properties=species:S:1:pos:R:3 comment="CuSeSCl2 (GGA-PBE, relaxed)" raw_formation_energy_mev_per_atom=344 polymorph_energy_kj_per_mol_atoms=0.00 e_tot_ev_per_atom=-2.736 pbc="T T T"
Cl 0.0000 2.2332 0.0000
Cl 2.2332 0.0000 0.0000
S 0.0000 0.0000 2.5615
Cu 0.0000 0.0000 0.0000
Se 2.2332 2.2332 2.5615

=====

# 4
5
Lattice="4.7721 0.0000 0.0000 0.0000 4.7721 0.0000 0.0000 0.0000 4.7721" Properties=species:S:1:pos:R:3 comment="YAl3Zn (GGA-PBE, relaxed)" delta_e_f_mev_per_atom=190 e_tot_ev_per_atom=-3.604 pbc="T T T"
Al 0.0000 0.0000 2.3861
Al 2.3861 0.0000 0.0000
Al 0.0000 2.3861 0.0000
Y 2.3861 2.3861 2.3861
Zn 0.0000 0.0000 0.0000